VASP calculation (GGA-PBE) on a geometry-optimized TbCe2MnS5 structure.

abc: 3.8995 8.5016 12.0460
angles: 90.00 90.00 103.26
Closest atoms and distances in Å follow each position.
Fractional coordinates of all 18 atoms:
Mn: 0.5025 0.0050 0.9740  4 S 2.31-2.39
Ce: 0.8704 0.7408 0.8048  8 S 2.88-3.20
Ce: 0.1296 0.2592 0.3048  8 S 2.88-3.20
S: 0.3594 0.7188 0.9994  1 Mn 2.39
S: 0.4975 0.9950 0.7822  1 Mn 2.31
S: 0.3099 0.6198 0.3439  2 Tb 2.73, 3 Ce 3.00-3.02
S: 0.7078 0.4155 0.1622  2 Tb 2.74, 3 Ce 2.90-2.96
Tb: 0.1957 0.3914 0.0028  6 S 2.69-2.74
S: 0.6406 0.2812 0.4994  1 Mn 2.39
S: 0.5025 0.0050 0.2822  1 Mn 2.31
Ce: 0.8858 0.7717 0.1854  8 S 2.92-3.00
S: 0.9596 0.9192 0.5693  2 Mn 2.35
Ce: 0.1142 0.2283 0.6854  8 S 2.92-3.00
Mn: 0.4975 0.9950 0.4740  4 S 2.31-2.39
S: 0.0404 0.0808 0.0693  2 Mn 2.35
Tb: 0.8043 0.6086 0.5028  6 S 2.69-2.74
S: 0.6901 0.3802 0.8439  2 Tb 2.73, 3 Ce 3.00-3.02
S: 0.2922 0.5845 0.6622  2 Tb 2.74, 3 Ce 2.90-2.96

## Properties
**Magnetic moment**: 5.79 μB/f.u.
**Formation energy (no corrections)**: -1697 meV/atom

VASP calculation (GGA-PBE) on a geometry-optimized SnAuI2N structure.

abc: 6.0412 6.0412 3.9049
angles: 90.00 90.00 90.00
Closest atoms and distances in Å follow each position.
Fractional coordinates of all 5 atoms:
Au: 0.5000 0.5000 0.5000  8 I 3.60, 2 Au 3.90
I: 0.5000 0.0000 0.0000  2 Sn 3.02
Sn: 0.0000 0.0000 0.0000  2 N 1.95
N: 0.0000 0.0000 0.5000  2 Sn 1.95
I: 0.0000 0.5000 0.0000  2 Sn 3.02

## Properties
**Magnetic moment**: 0.25 μB/f.u.
**ΔE to the lowest computed polymorph**: 77 meV/atom
**Formation energy (no corrections)**: 785 meV/atom

VASP calculation (GGA-PBE) on a geometry-optimized Fe2TcS structure.

abc: 5.1516 5.1516 6.0904
angles: 64.98 64.98 90.00
Closest atoms and distances in Å follow each position.
Fractional coordinates of all 8 atoms:
S: 0.5000 0.5000 0.0000  4 Fe 2.12
Tc: 0.7500 0.2500 0.5000  4 Fe 2.27
Fe: 0.8750 0.8493 0.7500  2 S 2.12, 2 Tc 2.27
Fe: 0.5993 0.1250 0.2500  2 S 2.12, 2 Tc 2.27
Tc: 0.0000 0.0000 0.0000  4 Fe 2.27
Fe: 0.1507 0.6250 0.2500  2 S 2.12, 2 Tc 2.27
S: 0.2500 0.7500 0.5000  4 Fe 2.12
Fe: 0.3750 0.4007 0.7500  2 S 2.12, 2 Tc 2.27

## Properties
**Magnetic moment**: 0.00 μB/f.u.
**Formation energy (no corrections)**: 510 meV/atom

VASP calculation (GGA-PBE) on a geometry-optimized Ce2SmDySe4 structure.

abc: 4.1410 7.2347 7.2123
angles: 70.82 90.00 90.00
Closest atoms and distances in Å follow each position.
Fractional coordinates of all 8 atoms:
Se: 0.5000 0.2590 0.7428  2 Dy 2.90, 1 Sm 2.93, 3 Ce 2.96-2.99
Ce: 0.0000 0.0000 0.0000  6 Se 2.99
Sm: 0.5000 0.5000 0.0000  6 Se 2.93
Ce: 0.5000 0.0000 0.5000  6 Se 2.96
Dy: 0.0000 0.5000 0.5000  6 Se 2.90
Se: 0.0000 0.2558 0.2522  1 Dy 2.90, 2 Sm 2.93, 3 Ce 2.96-2.99
Se: 0.5000 0.7410 0.2572  2 Dy 2.90, 1 Sm 2.93, 3 Ce 2.96-2.99
Se: 0.0000 0.7442 0.7477  1 Dy 2.90, 2 Sm 2.93, 3 Ce 2.96-2.99

## Properties
**Magnetic moment**: 0.09 μB/f.u.
**Formation energy (no corrections)**: -1808 meV/atom

VASP calculation (GGA-PBE) on a geometry-optimized HfTaBSb2 structure.

abc: 5.2596 5.1638 5.2596
angles: 90.00 90.00 90.00
Closest atoms and distances in Å follow each position.
Fractional coordinates of all 5 atoms:
Ta: 0.0000 0.0000 0.0000  2 Hf 2.58, 4 Sb 2.63
Sb: 0.0000 0.0000 0.5000  2 Ta 2.63
Hf: 0.0000 0.5000 0.0000  2 Ta 2.58
Sb: 0.5000 0.0000 0.0000  2 Ta 2.63
B: 0.5000 0.5000 0.5000  8 Sb 3.69, 4 Hf 3.72

## Properties
**Magnetic moment**: 0.00 μB/f.u.
**Formation energy (no corrections)**: 1547 meV/atom

VASP calculation (GGA-PBE) on a geometry-optimized SrSiP2 structure.

abc: 5.4077 5.4077 5.4077
angles: 142.38 113.76 78.76
Closest atoms and distances in Å follow each position.
Fractional coordinates of all 4 atoms:
P: 0.9367 0.9367 0.0000  2 Si 2.34
P: 0.5633 0.5633 0.0000  2 Si 2.34
Sr: 0.2500 0.7500 0.5000  8 P 3.15-3.34, 4 Si 3.43, 2 Sr 3.49
Si: 0.7500 0.2500 0.5000  4 P 2.34

## Properties
**Magnetic moment**: 0.00 μB/f.u.
**Formation energy (no corrections)**: -200 meV/atom

VASP calculation (GGA-PBE) on a geometry-optimized CoRuAu3 structure.

abc: 4.9759 4.9759 4.9759
angles: 90.00 90.00 90.00
Closest atoms and distances in Å follow each position.
Fractional coordinates of all 5 atoms:
Ru: 0.0000 0.0000 0.0000  6 Au 2.49
Au: 0.0000 0.5000 0.0000  2 Ru 2.49
Au: 0.5000 0.0000 0.0000  2 Ru 2.49
Au: 0.0000 0.0000 0.5000  2 Ru 2.49
Co: 0.5000 0.5000 0.5000  12 Au 3.52

## Properties
**Magnetic moment**: 2.11 μB/f.u.
**ΔH_f (0 K)**: 1.5841 eV/atom
**ΔE to the lowest computed polymorph**: 294 meV/atom

VASP calculation (GGA-PBE) on a geometry-optimized CaHfAl3 structure.

abc: 5.0244 5.0244 5.0244
angles: 90.00 90.00 90.00
Closest atoms and distances in Å follow each position.
Fractional coordinates of all 5 atoms:
Al: 0.5000 0.0000 0.0000  2 Ca 2.51
Al: 0.0000 0.0000 0.5000  2 Ca 2.51
Al: 0.0000 0.5000 0.0000  2 Ca 2.51
Hf: 0.5000 0.5000 0.5000  12 Al 3.55
Ca: 0.0000 0.0000 0.0000  6 Al 2.51

## Properties
**Magnetic moment**: 0.00 μB/f.u.
**ΔH_f (0 K)**: 1.3607 eV/atom
**ΔE to the lowest computed polymorph**: 926 meV/atom